1.
Compound: LiCrFe4O8
Source: the Alexandria database
Functional: meta-GGA SCAN
Structure: PBEsol geometry

Calculated values
Calculated total energy in eV/atom: -12.17
Formation energy from raw total energies in eV per atom: -1.948

Cell: 10.0029 5.7495 5.8685 Å, 90.00 125.68 90.00°
With the nearest neighbours (Å) after each atom.
Space group C2/m (No. 12)
Unique sites:
Li (0.0000, 0.0000, 0.0000) (multiplicity 2)  6 O 2.03-2.08
Cr (0.0000, 0.0000, 0.5000) (multiplicity 2)  6 O 1.94-1.97
Fe (0.1272, 0.5000, 0.3922) (multiplicity 4)  4 O 1.82-1.88
Fe (0.2500, 0.2500, 0.0000) (multiplicity 4)  6 O 1.95-2.05
O (0.0108, 0.2375, 0.7442) (multiplicity 8)  2 Fe 1.88-1.95, 1 Cr 1.94, 1 Li 2.08
O (0.2426, 0.0000, 0.7436) (multiplicity 4)  3 Fe 1.88-2.05, 1 Cr 1.97
O (0.2491, 0.0000, 0.2270) (multiplicity 4)  3 Fe 1.82-1.96, 1 Li 2.03

2.
Compound: Li5Cr2Fe3O10
Source: the Alexandria database
Functional: meta-GGA SCAN
Structure: PBEsol geometry

Calculated values
Calculated total energy in eV/atom: -10.36
Formation energy from raw total energies in eV per atom: -2.091

Cell: 4.9661 5.0171 7.6230 Å, 107.75 102.09 100.72°
With the nearest neighbours (Å) after each atom.
Space group P-1 (No. 2)
Unique sites:
Li (0.0000, 0.0000, 0.0000) (multiplicity 1)  6 O 2.02-2.15
Li (0.1059, 0.2113, 0.7184) (multiplicity 2)  6 O 2.01-2.20
Li (0.2882, 0.5874, 0.0926) (multiplicity 2)  6 O 2.05-2.14
Cr (0.4009, 0.8068, 0.8091) (multiplicity 2)  6 O 1.89-2.04
Fe (0.1918, 0.3939, 0.4008) (multiplicity 2)  6 O 1.94-2.13
Fe (0.5000, 0.0000, 0.5000) (multiplicity 1)  4 O 1.93-1.94
O (0.0543, 0.6098, 0.8352) (multiplicity 2)  1 Cr 1.90, 1 Fe 1.94, 4 Li 2.01-2.11
O (0.1682, 0.8154, 0.5567) (multiplicity 2)  3 Fe 1.93-2.13, 1 Cr 2.04, 1 Li 2.11
O (0.2754, 0.0107, 0.2627) (multiplicity 2)  2 Fe 1.94-2.05, 1 Cr 1.96, 3 Li 2.07-2.15
O (0.3664, 0.1798, 0.9557) (multiplicity 2)  2 Cr 1.89-1.92, 3 Li 2.02-2.06
O (0.4441, 0.4267, 0.6546) (multiplicity 2)  1 Cr 1.99, 3 Fe 2.01-2.21, 2 Li 2.05-2.13

3.
Compound: LiCr3Fe2O8
Source: the Alexandria database
Functional: meta-GGA SCAN
Structure: PBEsol geometry

Calculated values
Calculated total energy in eV/atom: -12.45
Formation energy from raw total energies in eV per atom: -2.193

Cell: 5.8217 5.8217 13.9765 Å, 90.00 90.00 120.00°
With the nearest neighbours (Å) after each atom.
Space group R3m (No. 160, hexagonal axes)
Unique sites:
Li (0.0000, 0.0000, 0.0000) (multiplicity 3)  4 O 1.91-1.96
Cr (0.0084, 0.5042, 0.8764) (multiplicity 9)  6 O 1.93-2.00
Fe (0.0000, 0.0000, 0.3762) (multiplicity 3)  6 O 1.92-1.94
Fe (0.0000, 0.0000, 0.7500) (multiplicity 3)  4 O 1.90-1.92
O (0.0000, 0.0000, 0.1365) (multiplicity 3)  1 Li 1.91, 3 Cr 1.93
O (0.0000, 0.0000, 0.6139) (multiplicity 3)  1 Fe 1.90, 3 Cr 1.99
O (0.0277, 0.5139, 0.1274) (multiplicity 9)  2 Fe 1.92-1.94, 2 Cr 2.00
O (0.1850, 0.3700, 0.9569) (multiplicity 9)  1 Fe 1.92, 2 Cr 1.93, 1 Li 1.96

4.
Compound: Li3Cr4FeO8
Source: the Alexandria database
Functional: meta-GGA SCAN
Structure: PBEsol geometry

Calculated values
Calculated total energy in eV/atom: -11.53
Formation energy from raw total energies in eV per atom: -2.234

Cell: 10.1356 5.8154 5.8064 Å, 90.00 124.86 90.00°
With the nearest neighbours (Å) after each atom.
Space group C2/m (No. 12)
Unique sites:
Li (0.0000, 0.0000, 0.0000) (multiplicity 2)  6 O 2.01-2.13
Li (0.2500, 0.2500, 0.0000) (multiplicity 4)  6 O 2.11-2.16
Cr (0.0000, 0.0000, 0.5000) (multiplicity 2)  6 O 2.06-2.08
Cr (0.0000, 0.5000, 0.0000) (multiplicity 2)  6 O 2.05-2.08
Cr (0.2500, 0.2500, 0.5000) (multiplicity 4)  6 O 1.99-2.00
Fe (0.0000, 0.5000, 0.5000) (multiplicity 2)  6 O 2.04-2.10
O (0.0099, 0.2448, 0.2542) (multiplicity 8)  3 Cr 2.00-2.06, 2 Li 2.01-2.16, 1 Fe 2.10
O (0.2447, 0.5000, 0.7288) (multiplicity 4)  2 Cr 1.99, 1 Fe 2.04, 3 Li 2.12-2.13
O (0.2504, 0.0000, 0.7367) (multiplicity 4)  4 Cr 2.00-2.08, 2 Li 2.11

5.
Compound: Li2CrFe2O6
Source: the Alexandria database
Functional: meta-GGA SCAN
Structure: PBEsol geometry

Calculated values
Calculated total energy in eV/atom: -10.78
Formation energy from raw total energies in eV per atom: -1.980

Cell: 6.3953 6.4232 7.9708 Å, 68.93 71.40 80.73°
With the nearest neighbours (Å) after each atom.
Space group P-1 (No. 2)
Unique sites:
Li (0.0023, 0.1607, 0.3316) (multiplicity 2)  6 O 2.04-2.16
Li (0.3240, 0.1664, 0.0027) (multiplicity 2)  6 O 1.99-2.13
Li (0.3405, 0.5002, 0.6615) (multiplicity 2)  6 O 2.06-2.18
Cr (0.0000, 0.5000, 0.5000) (multiplicity 1)  6 O 1.93-1.94
Cr (0.3205, 0.5226, 0.1565) (multiplicity 2)  6 O 1.88-1.96
Fe (0.0078, 0.8240, 0.1707) (multiplicity 2)  6 O 1.89-1.93
Fe (0.3296, 0.8221, 0.8456) (multiplicity 2)  6 O 1.90-1.92
Fe (0.3427, 0.1564, 0.4983) (multiplicity 2)  6 O 1.88-1.92
O (0.0039, 0.5062, 0.2550) (multiplicity 2)  1 Fe 1.91, 2 Cr 1.93, 2 Li 2.08-2.09
O (0.0170, 0.8604, 0.9201) (multiplicity 2)  3 Fe 1.89-1.91, 2 Li 2.09-2.10
O (0.0273, 0.1768, 0.5803) (multiplicity 2)  2 Fe 1.91-1.92, 1 Cr 1.94, 2 Li 2.04-2.08
O (0.3040, 0.1413, 0.7503) (multiplicity 2)  3 Fe 1.89-1.91
O (0.3201, 0.4771, 0.4134) (multiplicity 2)  1 Fe 1.92, 2 Cr 1.94-1.96, 2 Li 2.07-2.08
O (0.3252, 0.8358, 0.0804) (multiplicity 2)  1 Cr 1.88, 2 Fe 1.90-1.93, 1 Li 1.99
O (0.3446, 0.8432, 0.5984) (multiplicity 2)  3 Fe 1.88-1.90, 1 Li 2.08
O (0.3543, 0.1970, 0.2462) (multiplicity 2)  2 Fe 1.91-1.92, 1 Cr 1.95, 1 Li 2.09
O (0.3575, 0.5043, 0.9146) (multiplicity 2)  1 Fe 1.91, 2 Cr 1.91-1.95, 2 Li 2.05-2.06

6.
Compound: Li2Cr2FeO6
Source: the Alexandria database
Functional: meta-GGA SCAN
Structure: PBEsol geometry

Calculated values
Calculated total energy in eV/atom: -11.02
Formation energy from raw total energies in eV per atom: -2.200

Cell: 6.4425 6.4731 8.0815 Å, 70.82 70.37 82.42°
With the nearest neighbours (Å) after each atom.
Space group P-1 (No. 2)
Unique sites:
Li (0.0011, 0.3259, 0.1699) (multiplicity 2)  6 O 2.06-2.19
Li (0.3309, 0.6765, 0.4964) (multiplicity 2)  6 O 2.07-2.19
Li (0.3336, 0.9991, 0.1665) (multiplicity 2)  6 O 2.11-2.14
Cr (0.0107, 0.3271, 0.6678) (multiplicity 2)  6 O 1.92-1.96
Cr (0.3324, 0.6623, 0.9979) (multiplicity 2)  6 O 1.91-1.96
Cr (0.3353, 0.3322, 0.3388) (multiplicity 2)  6 O 1.91-1.96
Fe (0.0000, 0.0000, 0.0000) (multiplicity 1)  6 O 1.90-1.94
Fe (0.3292, 0.0014, 0.6695) (multiplicity 2)  6 O 1.91-1.94
O (0.0126, 0.0086, 0.7593) (multiplicity 2)  2 Fe 1.90-1.92, 1 Cr 1.95, 2 Li 2.06-2.11
O (0.0127, 0.3550, 0.4183) (multiplicity 2)  3 Cr 1.95-1.96, 2 Li 2.10
O (0.0172, 0.6827, 0.0835) (multiplicity 2)  2 Cr 1.91-1.94, 1 Fe 1.94, 1 Li 2.11
O (0.3076, 0.6524, 0.2491) (multiplicity 2)  3 Cr 1.93-1.96, 2 Li 2.11-2.13
O (0.3180, 0.9796, 0.9149) (multiplicity 2)  2 Fe 1.92-1.93, 1 Cr 1.94, 2 Li 2.11-2.13
O (0.3278, 0.3191, 0.5801) (multiplicity 2)  2 Cr 1.91-1.92, 1 Fe 1.94, 1 Li 2.08
O (0.3444, 0.6886, 0.7481) (multiplicity 2)  1 Fe 1.91, 2 Cr 1.94-1.95, 2 Li 2.09-2.10
O (0.3453, 0.3438, 0.0946) (multiplicity 2)  3 Cr 1.93-1.96, 2 Li 2.10-2.12
O (0.3568, 0.0127, 0.4211) (multiplicity 2)  2 Fe 1.91-1.93, 1 Cr 1.96, 1 Li 2.07

Question: The lowest formation energy from raw total energies belongs to which entry?
Answer: Li3Cr4FeO8

Question: Number 5 is which compound?
Answer: Li2CrFe2O6

Question: What is the formula in the fifth record?
Answer: Li2CrFe2O6